A relaxed MnPbS2O8 crystal, computed with GGA+U.

The structure in CIF format:
```
data_MnPbS2O8
_chemical_formula_sum 'Mn3 Pb3 S6 O24'
_symmetry_space_group_name_H-M 'R -3'
_symmetry_Int_Tables_number 148
_symmetry_space_group_name_Hall '-R 3'
_cell_length_a 4.9351
_cell_length_b 4.9351
_cell_length_c 22.1247
_cell_angle_alpha 90.00
_cell_angle_beta 90.00
_cell_angle_gamma 120.00
loop_
_atom_site_label
_atom_site_type_symbol
_atom_site_fract_x
_atom_site_fract_y
_atom_site_fract_z
_atom_site_occupancy
Mn1 Mn 0.0000 0.0000 0.0000 1
Pb1 Pb 0.0000 0.0000 0.5000 1
S1 S 0.0000 0.0000 0.2516 1
O1 O 0.0000 0.0000 0.1838 1
O2 O 0.0037 0.2890 0.7275 1
```

Summary:
**D(E_F)**: 0.0 states/eV per cell
**ρ**: 4.85 g cm⁻³
**ΔE to the lowest computed polymorph**: 28 meV per atom